No. 1
Ac3CoPb GGA-PBE relaxed; total moment = 0.003 μB per formula unit; DFT total energy = -24.5 eV per formula unit
1.0
5.541 0.000 0.000
0.000 5.541 0.000
0.000 0.000 5.541
Co Ac Pb
1 3 1
Cartesian
0.000 0.000 0.000
0.000 0.000 2.770
2.770 0.000 0.000
0.000 2.770 0.000
2.770 2.770 2.770

=====

No. 2
LiNpAs GGA-PBE relaxed; total moment = 5.000 μB per formula unit; DFT total energy = -20.3 eV per formula unit
1.0
-1.732 0.332 4.290
-4.479 1.033 0.620
-2.930 -3.233 1.575
As Np Li
1 1 1
Cartesian
0.000 0.000 0.000
-6.855 -1.401 4.864
-2.285 -0.467 1.621

=====

No. 3
LaDyAl GGA-PBE relaxed; total moment = 0.002 μB per formula unit; DFT total energy = -11.8 eV per formula unit
1.0
0.000 3.645 3.645
3.645 0.000 3.645
3.645 3.645 0.000
Dy La Al
1 1 1
Cartesian
5.468 5.468 5.468
0.000 0.000 0.000
1.822 1.822 1.822

=====

No. 4
SrPuFe GGA-PBE relaxed; total moment = 0.241 μB per formula unit; DFT total energy = -18.1 eV per formula unit
1.0
-4.121 0.094 1.766
-1.984 3.929 0.855
-3.477 1.345 -2.492
Fe Sr Pu
1 1 1
Cartesian
-7.186 4.026 0.096
-2.395 1.342 0.032
0.000 0.000 0.000

=====

No. 5
NaLaZrNi GGA-PBE relaxed; total moment = 0.001 μB per formula unit; distance to the lowest polymorph of the same formula = 92 meV/atom; DFT total energy = -18.5 eV per formula unit
1.0
0.591 -1.763 4.588
-3.686 0.363 3.285
-2.452 -4.057 1.428
Ni Na La Zr
1 1 1 1
Cartesian
-2.774 -2.728 4.651
-4.161 -4.093 6.976
0.000 0.000 0.000
-1.387 -1.364 2.325

=====

No. 6
LuAs2O GGA-PBE relaxed; total moment = 0.007 μB per formula unit; distance to the lowest polymorph of the same formula = 1046 meV/atom; DFT total energy = -20.4 eV per formula unit
1.0
4.524 0.000 0.000
0.000 4.524 0.000
0.000 0.000 7.488
As O Lu
4 2 2
Cartesian
3.393 3.393 2.219
1.131 1.131 5.269
1.131 1.131 0.361
3.393 3.393 7.126
3.393 1.131 0.000
1.131 3.393 0.000
1.131 3.393 3.744
3.393 1.131 3.744

=====

No. 7
TmSiIr GGA-PBE relaxed; total moment = 0.000 μB per formula unit; DFT total energy = -21.4 eV per formula unit
1.0
5.524 0.000 0.000
0.000 4.287 0.000
0.000 0.000 9.879
Tm Ir Si
4 4 4
Cartesian
4.802 1.072 3.628
2.040 1.072 1.312
0.722 3.215 6.252
3.483 3.215 8.567
4.758 1.072 0.533
1.996 1.072 4.407
3.527 3.215 5.473
0.765 3.215 9.346
0.871 1.072 8.384
3.633 1.072 6.434
1.891 3.215 3.445
4.653 3.215 1.495

=====

No. 8
GdHo2Co2B2N3 GGA-PBE relaxed; total moment = 0.024 μB per formula unit; DFT total energy = -78.5 eV per formula unit
1.0
-1.735 1.735 9.975
1.735 -1.735 9.975
1.735 1.735 -9.975
Gd N Ho Co B
1 3 2 2 2
Cartesian
0.000 0.000 0.000
0.000 0.000 9.975
0.000 0.000 2.371
0.000 0.000 17.580
0.000 0.000 7.490
0.000 0.000 12.461
1.735 0.000 4.988
0.000 1.735 4.988
0.000 0.000 3.873
0.000 0.000 16.078